ScReI3 PBE relaxed; DOS(E_F) = 4.3 states/eV/cell; space group = Pm-3m (221); E above lowest polymorph = 0.0 meV/atom; electronic total energy = -4.062 eV/atom; mass density = 5.32 Mg/m³
1.0
-4.698 3.146 1.092
0.168 -1.663 5.511
3.326 4.528 1.264
I Re Sc
3 1 1
Direct
0.000 0.500 0.000
0.000 0.000 0.500
0.500 0.000 0.000
0.500 0.500 0.500
0.000 0.000 0.000

Rb2PF7 PBE relaxed; DOS(E_F) = 0.0 states/eV/cell; space group = Fm-3m (225); electronic total energy = -4.626 eV/atom; mass density = 3.15 Mg/m³
1.0
-5.968 0.764 1.847
-1.543 -5.457 -2.729
-2.858 -4.497 3.350
P Rb F
1 2 7
Direct
0.000 0.000 0.000
0.750 0.250 0.500
0.250 0.750 0.500
0.500 0.500 0.000
0.184 0.184 0.632
0.816 0.816 0.368
0.184 0.184 0.000
0.816 0.816 0.000
0.816 0.184 0.000
0.184 0.816 0.000

KAsH PBE relaxed; DOS(E_F) = 6.4 states/eV/cell; space group = Pbcm (57); E above lowest polymorph = 109.8 meV/atom; electronic total energy = -3.200 eV/atom; mass density = 3.01 Mg/m³
1.0
-0.311 1.899 3.702
4.145 -4.215 2.510
7.202 5.701 -2.320
H As K
4 4 4
Direct
0.144 0.000 0.250
0.856 0.000 0.750
0.144 0.500 0.750
0.856 0.500 0.250
0.518 0.000 0.250
0.482 0.000 0.750
0.518 0.500 0.750
0.482 0.500 0.250
0.000 0.750 0.000
0.000 0.250 0.500
0.000 0.250 0.000
0.000 0.750 0.500

RhW2Se PBE relaxed; DOS(E_F) = 3.7 states/eV/cell; space group = Imm2 (44); electronic total energy = -8.934 eV/atom; mass density = 14.77 Mg/m³
1.0
-4.536 2.768 0.250
-3.409 -0.326 -4.071
2.626 -2.532 3.872
Rh Se W
1 1 2
Direct
0.481 0.481 0.000
0.250 0.750 0.500
0.025 0.025 0.000
0.744 0.244 0.500

AcAl3Cd PBE relaxed; DOS(E_F) = 4.1 states/eV/cell; space group = Imma (74); electronic total energy = -3.466 eV/atom; mass density = 5.79 Mg/m³; energy relative to the elements = -1.08 eV/f.u.
1.0
-4.740 -10.433 -0.488
-9.391 -6.324 1.837
6.001 9.029 -3.744
Ac Al Cd
2 6 2
Direct
0.160 0.910 0.250
0.840 0.090 0.750
0.724 0.474 0.250
0.276 0.526 0.750
0.462 0.212 0.250
0.538 0.788 0.750
0.033 0.283 0.750
0.967 0.717 0.250
0.397 0.647 0.750
0.603 0.353 0.250

Np2PbF8 PBE relaxed; DOS(E_F) = 14.6 states/eV/cell; space group = C2/m (12); E above lowest polymorph = 28.2 meV/atom; electronic total energy = -7.164 eV/atom; mass density = 7.82 Mg/m³
1.0
4.107 -0.784 -0.670
-0.311 6.828 0.819
-0.311 1.868 6.619
Np Pb F
2 1 8
Direct
0.600 0.328 0.328
0.400 0.672 0.672
0.000 0.000 0.000
0.571 0.063 0.670
0.429 0.330 0.937
0.005 0.218 0.218
0.995 0.782 0.782
0.571 0.670 0.063
0.429 0.937 0.330
0.199 0.443 0.443
0.801 0.557 0.557

AcCdH2F8 PBE relaxed; DOS(E_F) = 2.0 states/eV/cell; space group = P-1 (2); electronic total energy = -4.658 eV/atom; mass density = 5.24 Mg/m³
1.0
-2.638 -0.699 3.474
1.107 -3.475 2.752
4.875 5.308 4.832
Ac Cd H F
1 1 2 8
Direct
0.000 0.000 0.500
0.000 0.000 0.000
0.501 0.501 0.771
0.499 0.499 0.229
0.234 0.716 0.231
0.662 0.755 0.000
0.764 0.280 0.231
0.766 0.284 0.769
0.338 0.245 0.000
0.236 0.720 0.769
0.664 0.680 0.497
0.336 0.320 0.503

K2Cd2Au PBE relaxed; DOS(E_F) = 2.9 states/eV/cell; space group = I4/mmm (139); E above lowest polymorph = 68.6 meV/atom; electronic total energy = -1.587 eV/atom; mass density = 4.72 Mg/m³; energy relative to the elements = -0.63 eV/f.u.
1.0
-2.305 -1.737 -2.953
1.095 -3.746 1.349
-8.708 -2.817 5.568
K Au Cd
2 1 2
Direct
0.407 0.407 0.186
0.593 0.593 0.814
0.000 0.000 0.000
0.750 0.250 0.500
0.250 0.750 0.500

Repeat the seventh record exactly.
AcCdH2F8 PBE relaxed; DOS(E_F) = 2.0 states/eV/cell; space group = P-1 (2); electronic total energy = -4.658 eV/atom; mass density = 5.24 Mg/m³
1.0
-2.638 -0.699 3.474
1.107 -3.475 2.752
4.875 5.308 4.832
Ac Cd H F
1 1 2 8
Direct
0.000 0.000 0.500
0.000 0.000 0.000
0.501 0.501 0.771
0.499 0.499 0.229
0.234 0.716 0.231
0.662 0.755 0.000
0.764 0.280 0.231
0.766 0.284 0.769
0.338 0.245 0.000
0.236 0.720 0.769
0.664 0.680 0.497
0.336 0.320 0.503